Entry 1:
A plane-wave DFT calculation with PBE was carried out for crystalline Sc2HgW at its relaxed geometry.

Geometry as CIF:
```
data_Sc2HgW
_chemical_formula_sum 'Sc2 Hg1 W1'
_space_group_name_H-M_alt 'P 1'
_space_group_IT_number 1
_space_group_name_Hall 'P 1'
_cell_length_a 2.9560
_cell_length_b 2.9560
_cell_length_c 9.3084
_cell_angle_alpha 90.00
_cell_angle_beta 90.00
_cell_angle_gamma 91.46
loop_
_atom_site_label
_atom_site_type_symbol
_atom_site_fract_x
_atom_site_fract_y
_atom_site_fract_z
Hg1 Hg 0.5000 0.5000 0.7418
Sc1 Sc 0.0000 0.0000 0.9829
Sc2 Sc 0.5000 0.5000 0.2721
W1 W 0.0000 0.0000 0.5032
```

Values from the calculation:
Total moment in Bohr magnetons per cell: 0.001
SG: Cmm2, No. 35
Energy of formation from the pure elements in eV per formula unit: 1.00
E in eV/f.u.: -24.92

***

Entry 2:
A plane-wave DFT calculation with PBE was carried out for crystalline Sc2HgW at its relaxed geometry.

Geometry as CIF:
```
data_Sc2HgW
_chemical_formula_sum 'Sc2 Hg1 W1'
_space_group_name_H-M_alt 'P 1'
_space_group_IT_number 1
_space_group_name_Hall 'P 1'
_cell_length_a 10.6111
_cell_length_b 10.6111
_cell_length_c 10.6111
_cell_angle_alpha 16.47
_cell_angle_beta 16.47
_cell_angle_gamma 16.47
loop_
_atom_site_label
_atom_site_type_symbol
_atom_site_fract_x
_atom_site_fract_y
_atom_site_fract_z
Hg1 Hg 0.5000 0.5000 0.5000
Sc1 Sc 0.0849 0.0849 0.0849
Sc2 Sc 0.9151 0.9151 0.9151
W1 W 0.0000 0.0000 0.0000
```

Values from the calculation:
Total moment in Bohr magnetons per cell: 0.000
SG: R-3m, No. 166
Energy of formation from the pure elements in eV per formula unit: 1.91
E in eV/f.u.: -24.01

***

Number 1: N(E_F) 4.01 states/eV/cell. Number 2: N(E_F) 5.58 states/eV/cell.